(1)
Below is CoAgS2 after structural relaxation, with properties calculated at the GGA-PBE level.

Structure (extended XYZ):
```
4
Lattice="-2.584 -6.874 3.288 1.843 -2.875 -0.222 1.025 2.622 1.946" Properties=species:S:1:pos:R:3 pbc="T T T"
Ag 0.000 0.000 0.000
Co 0.142 -3.563 2.506
S -0.165 -5.801 2.688
S 0.448 -1.326 2.325
```

- energy (eV per formula unit) = -19.0
- formation energy without anion corrections (meV per atom) = -190.0
- symmetry = C2/m (12)



(2)
Below is CoAgS after structural relaxation, with properties calculated at the GGA-PBE level.

Structure (extended XYZ):
```
6
Lattice="3.591 0.000 0.000 0.000 3.591 0.000 0.000 0.000 8.388" Properties=species:S:1:pos:R:3 pbc="T T T"
Co 1.795 1.795 0.000
Co 0.000 0.000 0.000
Ag 1.795 0.000 4.761
Ag 0.000 1.795 3.627
S 0.000 1.795 7.145
S 1.795 0.000 1.243
```

- energy (eV per formula unit) = -14.3
- formation energy without anion corrections (meV per atom) = -74.9
- symmetry = P4/nmm (129)



(3)
Below is CoAgS2 after structural relaxation, with properties calculated at the GGA-PBE level.

Structure (extended XYZ):
```
8
Lattice="5.573 0.000 0.000 0.000 5.573 0.000 2.787 2.787 4.896" Properties=species:S:1:pos:R:3 pbc="T T T"
Ag 5.573 2.787 2.448
Ag 0.000 0.000 0.000
S 6.967 6.617 3.672
S 1.743 4.180 1.224
S 4.180 4.530 3.672
S 3.830 1.393 1.224
Co 2.787 5.573 2.448
Co 2.787 2.787 0.000
```

- energy (eV per formula unit) = -18.8
- formation energy without anion corrections (meV per atom) = -141.9
- symmetry = I-42d (122)